# 1
Sm3TmTl3Te8, relaxed, DFT PBE; symmetry = C2/m, No. 12; ΔE_f (raw) = -1055.1 meV/atom; density = 6.66 g/cm³; E = -4.45 eV per atom; total magnetic moment = 0.00 μB/cell; crystal system = monoclinic; DOS at the Fermi energy = 0.43 states/eV/atom
1.0
-8.2606 0.6389 -3.2505
3.7789 -8.0061 1.0144
-2.7837 4.6640 7.9924
Te Tl Sm Tm
8 3 3 1
direct
0.7453 0.9806 0.7158 Te
0.2353 0.9806 0.7158 Te
0.7647 0.0194 0.2842 Te
0.2353 0.4706 0.7158 Te
0.2547 0.0194 0.2842 Te
0.7404 0.4808 0.7212 Te
0.7647 0.5294 0.2842 Te
0.2596 0.5192 0.2788 Te
0.0000 0.0000 0.0000 Tl
0.0000 0.5000 0.0000 Tl
0.5000 0.5000 0.0000 Tl
0.5000 0.0000 0.5000 Sm
0.0000 0.5000 0.5000 Sm
0.5000 0.5000 0.5000 Sm
0.0000 0.0000 0.5000 Tm



# 2
LaMgAs2, relaxed, DFT PBE; symmetry = Cm, No. 8; density = 5.16 g/cm³; E = -4.76 eV per atom; total magnetic moment = 0.00 μB/cell; crystal system = monoclinic; formation energy from the elements = -0.81 eV/atom; DOS at the Fermi energy = 0.44 states/eV/atom
1.0
-2.1901 -0.2362 -5.4120
-1.6107 -4.0506 -3.8910
-4.3333 -0.1957 1.1601
La Mg As
1 1 2
direct
0.4918 0.4918 0.6130 La
0.2351 0.2351 0.1882 Mg
0.9945 0.9945 0.1161 As
0.7786 0.7786 0.5827 As



# 3
Co2ReAu, relaxed, DFT PBE; symmetry = I4/mmm, No. 139; relative energy among the computed polymorphs = 0.67 eV per formula unit; density = 15.74 g/cm³; E = -7.16 eV per atom; total magnetic moment = 0.00 μB/cell; crystal system = tetragonal; formation energy from the elements = 0.32 eV/atom; DOS at the Fermi energy = 0.96 states/eV/atom
1.0
4.4801 0.0006 0.0009
1.1596 4.3274 -0.0009
-2.8184 -2.1658 2.7270
Co Au Re
2 1 1
direct
0.9999 0.9999 0.0000 Co
0.5001 0.5001 0.0000 Co
0.2500 0.7500 0.5000 Au
0.7500 0.2500 0.5000 Re



# 4
CeDy4PbS8, relaxed, DFT PBE; symmetry = R3m, No. 160; ΔE_f (raw) = -1745.4 meV/atom; density = 5.34 g/cm³; E = -6.11 eV per atom; total magnetic moment = 1.46 μB/cell; crystal system = trigonal; DOS at the Fermi energy = 0.79 states/eV/atom
1.0
-4.9339 -6.4027 -0.8345
0.9854 -6.5328 4.7313
-5.5811 -1.6246 5.8976
S Dy Ce Pb
8 4 1 1
direct
0.7523 0.2300 0.2654 S
0.7574 0.7574 0.7277 S
0.2300 0.7523 0.2654 S
0.2430 0.7880 0.7260 S
0.2348 0.2348 0.2957 S
0.2430 0.2430 0.7260 S
0.7523 0.7523 0.2654 S
0.7880 0.2430 0.7260 S
0.0015 0.4956 0.5014 Dy
0.4956 0.0015 0.5014 Dy
0.6260 0.6260 0.1221 Dy
0.0015 0.0015 0.5014 Dy
0.0017 0.0017 0.9949 Ce
0.3728 0.3728 0.8815 Pb



# 5
CrHgIr2, relaxed, DFT PBE; symmetry = I-42d, No. 122; density = 15.52 g/cm³; E = -6.32 eV per atom; total magnetic moment = 0.00 μB/cell; crystal system = tetragonal; formation energy from the elements = 0.59 eV/atom; DOS at the Fermi energy = 0.35 states/eV/atom
1.0
-5.0088 -1.5878 -4.8277
5.0797 -1.7725 -4.6874
-0.0232 -4.2034 -3.8668
Ir Hg Cr
4 2 2
direct
0.8750 0.8148 0.7500 Ir
0.1852 0.6250 0.2500 Ir
0.5648 0.1250 0.2500 Ir
0.3750 0.4352 0.7500 Ir
0.0000 0.0000 0.0000 Hg
0.7500 0.2500 0.5000 Hg
0.2500 0.7500 0.5000 Cr
0.5000 0.5000 0.0000 Cr



# 6
Pd3Pt2Pb, relaxed, DFT PBE; symmetry = Cmcm, No. 63; density = 12.25 g/cm³; E = -5.08 eV per atom; total magnetic moment = 0.00 μB/cell; crystal system = orthorhombic; formation energy from the elements = 0.15 eV/atom; DOS at the Fermi energy = 1.11 states/eV/atom
1.0
-1.4313 -5.1609 -0.5460
4.0657 -1.6762 5.1834
-4.9611 0.8933 4.5603
Pt Pd Pb
4 6 2
direct
0.0000 0.1347 0.1347 Pt
0.5000 0.1347 0.1347 Pt
0.0000 0.8653 0.8653 Pt
0.5000 0.8653 0.8653 Pt
0.7500 0.3887 0.3392 Pd
0.2500 0.2202 0.7798 Pd
0.7500 0.7798 0.2202 Pd
0.7500 0.6608 0.6113 Pd
0.2500 0.6113 0.6608 Pd
0.2500 0.3392 0.3887 Pd
0.7500 0.2634 0.7366 Pb
0.2500 0.7366 0.2634 Pb



# 7
Pr5In2Bi2, relaxed, DFT PBE; symmetry = Cmce, No. 64; density = 7.49 g/cm³; E = -4.79 eV per atom; total magnetic moment = 0.00 μB/cell; crystal system = orthorhombic; formation energy from the elements = -0.67 eV/atom; DOS at the Fermi energy = 0.81 states/eV/atom
1.0
8.5238 0.0000 0.0000
0.0000 7.6066 -3.9103
0.0000 -0.0451 9.2658
Pr In Bi
10 4 4
direct
0.6691 0.0371 0.7263 Pr
0.6691 0.3108 0.2737 Pr
0.8309 0.5371 0.7263 Pr
0.1691 0.1892 0.7263 Pr
0.3309 0.6892 0.7263 Pr
0.8309 0.8108 0.2737 Pr
0.0000 0.0000 0.0000 Pr
0.5000 0.5000 0.0000 Pr
0.3309 0.9629 0.2737 Pr
0.1691 0.4629 0.2737 Pr
0.6230 0.8757 0.0000 In
0.1230 0.6243 0.0000 In
0.3770 0.1243 0.0000 In
0.8770 0.3757 0.0000 In
0.0000 0.2042 0.4084 Bi
0.5000 0.7042 0.4084 Bi
0.5000 0.2958 0.5916 Bi
0.0000 0.7958 0.5916 Bi



# 8
NbTcP2, relaxed, DFT PBE; symmetry = I-42d, No. 122; relative energy among the computed polymorphs = 1.96 eV per formula unit; density = 5.26 g/cm³; E = -7.84 eV per atom; total magnetic moment = 0.00 μB/cell; crystal system = tetragonal; formation energy from the elements = -0.03 eV/atom; DOS at the Fermi energy = 1.33 states/eV/atom
1.0
-4.5061 -2.6594 0.0615
0.8210 -1.5054 -4.9438
0.9781 -6.8175 -0.5309
Nb P Tc
2 4 2
direct
0.2500 0.7500 0.5000 Nb
0.5000 0.5000 0.0000 Nb
0.3750 0.3463 0.7500 P
0.0963 0.6250 0.2500 P
0.6537 0.1250 0.2500 P
0.8750 0.9037 0.7500 P
0.0000 0.0000 0.0000 Tc
0.7500 0.2500 0.5000 Tc



Please write out number 2 again, unchanged.
LaMgAs2, relaxed, DFT PBE; symmetry = Cm, No. 8; density = 5.16 g/cm³; E = -4.76 eV per atom; total magnetic moment = 0.00 μB/cell; crystal system = monoclinic; formation energy from the elements = -0.81 eV/atom; DOS at the Fermi energy = 0.44 states/eV/atom
1.0
-2.1901 -0.2362 -5.4120
-1.6107 -4.0506 -3.8910
-4.3333 -0.1957 1.1601
La Mg As
1 1 2
direct
0.4918 0.4918 0.6130 La
0.2351 0.2351 0.1882 Mg
0.9945 0.9945 0.1161 As
0.7786 0.7786 0.5827 As



Question: The lowest DOS at the Fermi energy belongs to which entry?
Answer: CrHgIr2



Question: Look up the density of the fourth one.
Answer: 5.34 g/cm³